DFT (GGA+U) results for VGe2PbO8 after structural relaxation.

abc: 4.7656 4.7656 8.8655
angles: 74.41 74.41 60.00
Element x y z (fractional)
V: 0.5000 0.5000 0.5000
Ge: 0.7623 0.7623 0.7132
Ge: 0.2377 0.2377 0.2868
Pb: 0.0000 0.0000 0.0000
O: 0.6936 0.6936 0.9191
O: 0.3064 0.3064 0.0809
O: 0.5565 0.2383 0.3561
O: 0.7617 0.4435 0.6439
O: 0.1510 0.7617 0.6439
O: 0.2383 0.8490 0.3561
O: 0.8490 0.5565 0.3561
O: 0.4435 0.1510 0.6439

Computed properties:
DOS at the Fermi energy: 5.44 states/eV/cell
spin magnetization: 1.1 Bohr magnetons per cell
total DFT energy (no corrections): -75.23 eV per cell
space-group type: No. 155